Entry 1:
PBE Li2WAu, relaxed; energy above the most stable polymorph in this dataset = 0.273 eV per atom; size of the total moment = 0.0 Bohr magnetons per cell; total energy = -0.17089 Ha/atom; energy relative to the elements = 364 meV per atom; DOS(E_F) = 0.902 states/eV per atom
1.0
2.758 -4.419 0.000
2.758 4.419 0.000
0.000 0.000 2.611
Li W Au
2 1 1
direct
0.000 0.500 0.000
0.500 0.000 0.000
0.000 0.000 0.500
0.500 0.500 0.500


Entry 2:
PBE Ta2TlTc, relaxed; energy above the most stable polymorph in this dataset = 0.077 eV per atom; size of the total moment = 0.0 Bohr magnetons per cell; total energy = -0.32556 Ha/atom; energy relative to the elements = 250 meV per atom; DOS(E_F) = 0.656 states/eV per atom
1.0
-1.720 2.303 4.570
1.720 -2.303 4.570
1.720 2.303 -4.570
Ta Tl Tc
2 1 1
direct
0.231 0.231 0.000
0.769 0.769 0.000
0.500 0.000 0.500
0.000 0.500 0.500


Entry 3:
PBE Cr2SiNi2, relaxed; size of the total moment = 0.0 Bohr magnetons per cell; total energy = -0.26220 Ha/atom; formation energy from raw total energies = 54 kJ/mol of formula units; DOS(E_F) = 0.478 states/eV per atom
1.0
5.694 0.000 0.000
0.000 5.694 0.000
0.000 0.000 3.737
Cr Si Ni
4 2 4
direct
0.147 0.353 0.000
0.353 0.853 0.000
0.647 0.147 0.000
0.853 0.647 0.000
0.000 0.000 0.500
0.500 0.500 0.500
0.143 0.643 0.500
0.357 0.143 0.500
0.643 0.857 0.500
0.857 0.357 0.500


Entry 4:
PBE NaAgAu, relaxed; energy above the most stable polymorph in this dataset = 0.127 eV per atom; size of the total moment = 0.0 Bohr magnetons per cell; total energy = -0.09581 Ha/atom; energy relative to the elements = -125 meV per atom; DOS(E_F) = 0.155 states/eV per atom
1.0
4.676 -2.211 0.000
4.676 2.211 0.000
-1.683 0.000 5.730
Na Ag Au
2 2 2
direct
0.173 0.173 0.094
0.827 0.827 0.906
0.484 0.484 0.734
0.516 0.516 0.266
0.159 0.159 0.582
0.841 0.841 0.418


Entry 5:
PBE PrRhO, relaxed; size of the total moment = 0.0 Bohr magnetons per cell; total energy = -0.26705 Ha/atom; formation energy from raw total energies = -455 kJ/mol of formula units; DOS(E_F) = 0.446 states/eV per atom
1.0
4.965 0.000 0.000
0.000 4.965 0.000
0.000 0.000 4.181
Pr Rh O
2 2 2
direct
0.250 0.250 0.004
0.750 0.750 0.996
0.250 0.750 0.500
0.750 0.250 0.500
0.250 0.750 0.000
0.750 0.250 0.000


Entry 6:
PBE Th2AlP3Rh12, relaxed; size of the total moment = 0.0 Bohr magnetons per cell; total energy = -0.26685 Ha/atom; energy relative to the elements = -426 meV per atom; DOS(E_F) = 0.831 states/eV per atom
1.0
4.189 2.419 5.201
-4.189 2.419 5.201
0.000 -4.838 5.201
Th Al P Rh
2 1 3 12
direct
0.110 0.110 0.110
0.890 0.890 0.890
0.500 0.500 0.500
0.000 0.500 0.500
0.500 0.000 0.500
0.500 0.500 0.000
0.135 0.645 0.645
0.164 0.164 0.596
0.164 0.596 0.164
0.355 0.355 0.865
0.355 0.865 0.355
0.404 0.836 0.836
0.596 0.164 0.164
0.645 0.135 0.645
0.645 0.645 0.135
0.836 0.404 0.836
0.836 0.836 0.404
0.865 0.355 0.355


Entry 7:
PBE KSnNO2, relaxed; size of the total moment = 1.2 Bohr magnetons per cell; total energy = -0.12634 Ha/atom; formation energy from raw total energies = 594 kJ/mol of formula units; DOS(E_F) = 0.882 states/eV per atom
1.0
4.629 0.000 0.000
0.000 4.629 0.000
0.000 0.000 4.702
K Sn N O
1 1 1 2
direct
0.000 0.000 0.000
0.500 0.500 0.500
0.000 0.000 0.500
0.000 0.500 0.000
0.500 0.000 0.000


Entry 8:
PBE RbPaRu2O8, relaxed; size of the total moment = 1.8 Bohr magnetons per cell; total energy = -0.27040 Ha/atom; formation energy from raw total energies = -1893 kJ/mol of formula units; DOS(E_F) = 0.806 states/eV per atom
1.0
5.919 0.000 0.000
-2.959 5.126 0.000
0.000 0.000 8.104
Rb Pa Ru O
1 1 2 8
direct
0.000 0.000 0.000
0.000 0.000 0.500
0.333 0.667 0.242
0.667 0.333 0.758
0.169 0.337 0.339
0.169 0.831 0.339
0.333 0.667 0.027
0.337 0.169 0.661
0.663 0.831 0.339
0.667 0.333 0.973
0.831 0.169 0.661
0.831 0.663 0.661


Entry 9:
PBE SrInGaPd, relaxed; size of the total moment = 0.0 Bohr magnetons per cell; total energy = -0.13659 Ha/atom; energy relative to the elements = -557 meV per atom; DOS(E_F) = 0.530 states/eV per atom
1.0
2.242 1.295 5.840
-2.242 1.295 5.840
0.000 -2.589 5.840
Sr In Ga Pd
1 1 1 1
direct
0.000 0.000 0.000
0.203 0.203 0.203
0.452 0.452 0.452
0.802 0.802 0.802


Entry 10:
PBE Nd4Ni2Ir, relaxed; size of the total moment = 0.0 Bohr magnetons per cell; total energy = -0.21815 Ha/atom; energy relative to the elements = -294 meV per atom; DOS(E_F) = 0.754 states/eV per atom
1.0
-4.487 4.490 4.525
4.487 -4.490 4.525
4.487 4.490 -4.525
Nd Ni Ir
8 4 2
direct
0.196 0.252 0.557
0.196 0.639 0.943
0.253 0.196 0.057
0.361 0.804 0.557
0.639 0.196 0.443
0.747 0.804 0.943
0.804 0.361 0.057
0.804 0.748 0.443
0.000 0.500 0.500
0.500 0.000 0.000
0.500 0.500 0.000
0.500 0.500 0.500
0.125 0.875 0.250
0.875 0.125 0.750


Entry 11:
PBE Rb2Mg2Cd15, relaxed; size of the total moment = 0.0 Bohr magnetons per cell; total energy = -0.03844 Ha/atom; energy relative to the elements = -54 meV per atom; DOS(E_F) = 0.314 states/eV per atom
1.0
5.229 3.019 5.167
-5.229 3.019 5.167
0.000 -6.038 5.167
Rb Mg Cd
2 2 15
direct
0.156 0.156 0.156
0.844 0.844 0.844
0.400 0.400 0.400
0.600 0.600 0.600
0.000 0.500 0.500
0.149 0.149 0.648
0.149 0.648 0.149
0.210 0.500 0.790
0.210 0.790 0.500
0.352 0.851 0.851
0.500 0.000 0.500
0.500 0.210 0.790
0.500 0.500 0.000
0.500 0.790 0.210
0.648 0.149 0.149
0.790 0.210 0.500
0.790 0.500 0.210
0.851 0.352 0.851
0.851 0.851 0.352


Entry 12:
PBE SnBr4, relaxed; size of the total moment = 0.0 Bohr magnetons per cell; total energy = -0.10280 Ha/atom; formation energy from raw total energies = -318 kJ/mol of formula units; DOS(E_F) = 0.000 states/eV per atom
1.0
11.663 0.000 0.000
0.000 7.356 0.000
-3.883 0.000 11.191
Sn Br
4 16
direct
0.250 0.083 0.157
0.250 0.417 0.657
0.750 0.583 0.343
0.750 0.917 0.843
0.089 0.584 0.709
0.089 0.916 0.209
0.184 0.100 0.604
0.184 0.400 0.104
0.285 0.567 0.484
0.285 0.933 0.984
0.440 0.077 0.331
0.440 0.423 0.831
0.560 0.577 0.169
0.560 0.923 0.669
0.715 0.067 0.016
0.715 0.433 0.516
0.816 0.600 0.896
0.816 0.900 0.396
0.911 0.084 0.791
0.911 0.416 0.291


Q: total energy of number 7 (KSnNO2)?
A: -0.12634 Ha/atom